Record 1
# Ca2NbIrI | Alexandria | PBE | optimized geometry
# **Raw formation energy**: 0.447 eV/atom
data_Ca2NbIrI
_chemical_formula_sum 'Ca2 Nb1 Ir1 I1'
_cell_length_a 6.032
_cell_length_b 6.032
_cell_length_c 4.641
_cell_angle_alpha 90.00
_cell_angle_beta 90.00
_cell_angle_gamma 90.00
_space_group_name_H-M_alt 'P 4/m m m'
_space_group_IT_number 123
_space_group_name_Hall '-P 4 2'
loop_
_atom_site_label
_atom_site_fract_x
_atom_site_fract_y
_atom_site_fract_z
Ca1 0.000 0.500 0.000
Nb1 0.000 0.000 0.000
Ir1 0.000 0.000 0.500
I1 0.500 0.500 0.500

***

Record 2
# Nb3Co2Si4 | Alexandria | PBE | optimized geometry
# **Raw formation energy**: -0.551 eV/atom
data_Nb3Co2Si4
_chemical_formula_sum 'Nb6 Co4 Si8'
_cell_length_a 9.768
_cell_length_b 3.775
_cell_length_c 7.359
_cell_angle_alpha 90.00
_cell_angle_beta 110.35
_cell_angle_gamma 90.00
_space_group_name_H-M_alt 'C 1 2/m 1'
_space_group_IT_number 12
loop_
_space_group_symop_operation_xyz
'x,y,z'
'-x,-y,-z'
'-x,y,-z'
'x,-y,z'
'x+1/2,y+1/2,z'
'-x+1/2,-y+1/2,-z'
'-x+1/2,y+1/2,-z'
'x+1/2,-y+1/2,z'
loop_
_atom_site_label
_atom_site_fract_x
_atom_site_fract_y
_atom_site_fract_z
Nb1 0.000 0.000 0.000
Nb2 0.119 0.500 0.698
Co1 0.187 0.500 0.356
Si1 0.087 0.000 0.406
Si2 0.215 0.500 0.073

***

Record 3
# Cd3InAg3 | Alexandria | PBE | optimized geometry
# **Energy relative to the elements**: -0.011 eV per atom
# **Polymorph energy (0 for the lowest one)**: 0 meV per atom
data_Cd3InAg3
_chemical_formula_sum 'Cd12 In4 Ag12'
_cell_length_a 9.432
_cell_length_b 9.442
_cell_length_c 6.647
_cell_angle_alpha 90.00
_cell_angle_beta 90.00
_cell_angle_gamma 90.00
_space_group_name_H-M_alt 'C m m m'
_space_group_IT_number 65
_space_group_name_Hall '-C 2 2'
loop_
_atom_site_label
_atom_site_fract_x
_atom_site_fract_y
_atom_site_fract_z
Cd1 0.000 0.231 0.000
Cd2 0.000 0.233 0.500
Cd3 0.234 0.000 0.500
In1 0.228 0.000 0.000
Ag1 0.000 0.500 0.242
Ag2 0.250 0.250 0.252

***

Record 4
# ZnHg2Sb | Alexandria | PBE | optimized geometry
# **Raw formation energy**: 0.222 eV/atom
# **Polymorph energy (0 for the lowest one)**: 142 meV per atom
data_ZnHg2Sb
_chemical_formula_sum 'Zn1 Hg2 Sb1'
_cell_length_a 5.526
_cell_length_b 5.526
_cell_length_c 3.221
_cell_angle_alpha 90.00
_cell_angle_beta 90.00
_cell_angle_gamma 90.00
_space_group_name_H-M_alt 'P 4/m m m'
_space_group_IT_number 123
_space_group_name_Hall '-P 4 2'
loop_
_atom_site_label
_atom_site_fract_x
_atom_site_fract_y
_atom_site_fract_z
Zn1 0.000 0.000 0.000
Hg1 0.000 0.500 0.500
Sb1 0.500 0.500 0.000

***

Record 5
# Na4SmPu3Te8 | Alexandria | PBE | optimized geometry
# **Raw formation energy**: -1.104 eV/atom
data_Na4SmPu3Te8
_chemical_formula_sum 'Na12 Sm3 Pu9 Te24'
_cell_length_a 9.0042
_cell_length_b 9.0042
_cell_length_c 22.4797
_cell_angle_alpha 90.00
_cell_angle_beta 90.00
_cell_angle_gamma 120.00
_space_group_name_H-M_alt 'R -3 m'
_space_group_IT_number 166
_space_group_name_Hall '-R 3 2"'
loop_
_atom_site_label
_atom_site_fract_x
_atom_site_fract_y
_atom_site_fract_z
Na1 0.0000 0.0000 0.0000
Na2 0.0000 0.5000 0.0000
Sm1 0.0000 0.0000 0.5000
Pu1 0.0000 0.5000 0.5000
Te1 0.0000 0.0000 0.2440
Te2 0.0011 0.5006 0.7549

***

Record 6
# Sm8Rh3SBr4 | Alexandria | PBE | optimized geometry
# **Raw formation energy**: -1.165 eV/atom
data_Sm8Rh3SBr4
_chemical_formula_sum 'Sm24 Rh9 S3 Br12'
_cell_length_a 8.2492
_cell_length_b 8.2492
_cell_length_c 22.8199
_cell_angle_alpha 90.00
_cell_angle_beta 90.00
_cell_angle_gamma 120.00
_space_group_name_H-M_alt 'R -3 m'
_space_group_IT_number 166
_space_group_name_Hall '-R 3 2"'
loop_
_atom_site_label
_atom_site_fract_x
_atom_site_fract_y
_atom_site_fract_z
Sm1 0.0000 0.0000 0.2317
Sm2 0.0122 0.5061 0.7682
Rh1 0.0000 0.5000 0.5000
S1 0.0000 0.0000 0.5000
Br1 0.0000 0.0000 0.0000
Br2 0.0000 0.5000 0.0000

***

Record 7
# InIr3Pd | Alexandria | PBE | optimized geometry
# **Energy relative to the elements**: 1.800 eV per atom
# **Polymorph energy (0 for the lowest one)**: 0 meV per atom
data_InIr3Pd
_chemical_formula_sum 'In1 Ir3 Pd1'
_cell_length_a 4.774
_cell_length_b 4.774
_cell_length_c 4.774
_cell_angle_alpha 90.00
_cell_angle_beta 90.00
_cell_angle_gamma 90.00
_space_group_name_H-M_alt 'P m -3 m'
_space_group_IT_number 221
_space_group_name_Hall '-P 4 2 3'
loop_
_atom_site_label
_atom_site_fract_x
_atom_site_fract_y
_atom_site_fract_z
In1 0.000 0.000 0.000
Ir1 0.000 0.500 0.500
Pd1 0.500 0.500 0.500

***

| no. | total energy (eV/f.u.) |
| --- | --- |
| 1 | -22.25 |
| 2 | -71.07 |
| 3 | -14.12 |
| 4 | -5.11 |
| 5 | -95.78 |
| 6 | -89.26 |
| 7 | -25.52 |